(1)
SbPRh2 (PBE-GGA, relaxed); size of the total moment = 0.00 μB per atom; E_tot = -6.51 eV/atom; E_form (uncorrected) = -1.79 eV per formula unit; D(E_F) = 1.528 states/eV/cell
1.0
3.935 -1.630 0.000
3.935 1.630 0.000
-0.780 0.000 5.543
Sb P Rh
1 1 2
direct
0.000 0.000 0.000 Sb
0.201 0.201 0.541 P
0.497 0.497 0.592 Rh
0.739 0.739 0.259 Rh


(2)
AlInSn (PBE-GGA, relaxed); ΔE_f = 0.40 eV per formula unit; size of the total moment = 0.00 μB per atom; E_tot = -3.36 eV/atom; D(E_F) = 1.393 states/eV/cell
1.0
-1.643 1.643 6.693
1.643 -1.643 6.693
1.643 1.643 -6.693
Al In Sn
1 1 1
direct
0.000 0.000 0.000 Al
0.346 0.346 0.000 In
0.650 0.650 0.000 Sn


(3)
SrIn5 (PBE-GGA, relaxed); ΔE_f = -1.22 eV per formula unit; size of the total moment = 0.00 μB per atom; E_tot = -2.77 eV/atom; D(E_F) = 3.128 states/eV/cell
1.0
2.440 -6.991 0.000
2.440 6.991 0.000
0.000 0.000 4.978
Sr In
1 5
direct
0.000 0.000 0.000 Sr
0.173 0.827 0.500 In
0.322 0.678 0.000 In
0.500 0.500 0.500 In
0.678 0.322 0.000 In
0.827 0.173 0.500 In


(4)
HPdPb (PBE-GGA, relaxed); size of the total moment = 0.00 μB per atom; E_tot = -4.11 eV/atom; D(E_F) = 0.764 states/eV/cell
1.0
3.246 0.000 0.000
-1.623 2.811 0.000
0.000 0.000 5.138
H Pd Pb
1 1 1
direct
0.000 0.000 0.000 H
0.333 0.667 0.000 Pd
0.667 0.333 0.500 Pb


(5)
Ba5Ag2Hg2 (PBE-GGA, relaxed); ΔE_f = -2.95 eV per formula unit; size of the total moment = 0.00 μB per atom; E_tot = -2.10 eV/atom; D(E_F) = 16.543 states/eV/cell
1.0
9.053 -4.459 0.000
9.053 4.459 0.000
0.000 0.000 9.096
Ba Ag Hg
10 4 4
direct
0.000 0.000 0.000 Ba
0.036 0.690 0.672 Ba
0.190 0.536 0.172 Ba
0.310 0.964 0.672 Ba
0.464 0.810 0.172 Ba
0.500 0.500 0.500 Ba
0.536 0.190 0.828 Ba
0.690 0.036 0.328 Ba
0.810 0.464 0.828 Ba
0.964 0.310 0.328 Ba
0.114 0.886 0.385 Ag
0.386 0.614 0.885 Ag
0.614 0.386 0.115 Ag
0.886 0.114 0.615 Ag
0.206 0.206 0.000 Hg
0.294 0.294 0.500 Hg
0.706 0.706 0.500 Hg
0.794 0.794 0.000 Hg


(6)
LiNd2MnS5 (PBE-GGA, relaxed); size of the total moment = 0.44 μB per atom; E_tot = -6.13 eV/atom; E_form (uncorrected) = -13.87 eV per formula unit; D(E_F) = 1.084 states/eV/cell
1.0
1.983 -8.499 0.000
1.983 8.499 0.000
0.000 0.000 10.761
Li Nd Mn S
2 4 2 10
direct
0.221 0.779 0.500 Li
0.779 0.221 0.000 Li
0.112 0.888 0.805 Nd
0.124 0.876 0.186 Nd
0.876 0.124 0.686 Nd
0.888 0.112 0.305 Nd
0.406 0.594 0.983 Mn
0.594 0.406 0.483 Mn
0.034 0.966 0.558 S
0.298 0.702 0.841 S
0.313 0.687 0.148 S
0.358 0.642 0.497 S
0.481 0.519 0.799 S
0.519 0.481 0.299 S
0.642 0.358 0.997 S
0.687 0.313 0.648 S
0.702 0.298 0.341 S
0.966 0.034 0.058 S


(7)
MgMo2W (PBE-GGA, relaxed); ΔE_f = 0.64 eV per formula unit; size of the total moment = 0.00 μB per atom; E_tot = -8.89 eV/atom; D(E_F) = 2.425 states/eV/cell
1.0
1.605 -2.248 0.000
1.605 2.248 0.000
0.000 0.000 9.204
Mg Mo W
1 2 1
direct
0.000 0.000 0.000 Mg
0.500 0.500 0.262 Mo
0.500 0.500 0.738 Mo
0.000 0.000 0.500 W


(8)
EuInGe2 (PBE-GGA, relaxed); ΔE_f = -1.39 eV per formula unit; size of the total moment = 1.71 μB per atom; E_tot = -5.91 eV/atom; D(E_F) = 1.821 states/eV/cell
1.0
4.636 0.000 0.000
0.000 4.636 0.000
0.000 0.000 4.234
Eu In Ge
1 1 2
direct
0.000 0.000 0.000 Eu
0.500 0.500 0.000 In
0.000 0.500 0.500 Ge
0.500 0.000 0.500 Ge


(9)
CsNdPaS4 (PBE-GGA, relaxed); size of the total moment = 0.15 μB per atom; E_tot = -6.16 eV/atom; E_form (uncorrected) = -11.50 eV per formula unit; D(E_F) = 11.820 states/eV/cell
1.0
-4.265 4.475 6.129
4.265 -4.475 6.129
4.265 4.475 -6.129
Cs Nd Pa S
2 2 2 8
direct
0.384 0.134 0.250 Cs
0.616 0.866 0.750 Cs
0.000 0.500 0.500 Nd
0.500 0.500 0.000 Nd
0.000 0.000 0.500 Pa
0.000 0.500 0.000 Pa
0.176 0.733 0.444 S
0.211 0.267 0.944 S
0.220 0.260 0.539 S
0.220 0.681 0.961 S
0.780 0.319 0.039 S
0.780 0.740 0.461 S
0.789 0.733 0.056 S
0.824 0.267 0.556 S


(10)
Pm5Nd2Dy2 (PBE-GGA, relaxed); ΔE_f = 0.41 eV per formula unit; size of the total moment = 0.00 μB per atom; E_tot = -4.68 eV/atom; D(E_F) = 14.481 states/eV/cell
1.0
8.789 -1.785 0.000
8.789 1.785 0.000
-1.661 0.000 9.747
Pm Nd Dy
5 2 2
direct
0.000 0.000 0.000 Pm
0.157 0.157 0.539 Pm
0.336 0.336 0.780 Pm
0.664 0.664 0.220 Pm
0.843 0.843 0.461 Pm
0.324 0.324 0.123 Nd
0.676 0.676 0.877 Nd
0.498 0.498 0.332 Dy
0.502 0.502 0.668 Dy


(11)
Cs2NpCu3Br12 (PBE-GGA, relaxed); size of the total moment = 0.13 μB per atom; E_tot = -3.49 eV/atom; E_form (uncorrected) = -15.87 eV per formula unit; D(E_F) = 15.596 states/eV/cell
1.0
4.572 2.640 9.571
-4.572 2.640 9.571
0.000 -5.279 9.571
Cs Np Cu Br
2 1 3 12
direct
0.089 0.089 0.089 Cs
0.911 0.911 0.911 Cs
0.500 0.500 0.500 Np
0.000 0.500 0.500 Cu
0.500 0.000 0.500 Cu
0.500 0.500 0.000 Cu
0.162 0.589 0.589 Br
0.187 0.187 0.587 Br
0.187 0.587 0.187 Br
0.411 0.411 0.838 Br
0.411 0.838 0.411 Br
0.413 0.813 0.813 Br
0.587 0.187 0.187 Br
0.589 0.162 0.589 Br
0.589 0.589 0.162 Br
0.813 0.413 0.813 Br
0.813 0.813 0.413 Br
0.838 0.411 0.411 Br


(12)
NaH9O5 (PBE-GGA, relaxed); size of the total moment = 0.01 μB per atom; E_tot = -4.88 eV/atom; D(E_F) = 0.000 states/eV/cell
1.0
6.343 0.000 0.000
0.000 6.417 0.000
0.000 0.000 12.951
Na H O
4 36 20
direct
0.004 0.247 0.252 Na
0.496 0.753 0.752 Na
0.504 0.253 0.748 Na
0.996 0.747 0.248 Na
0.057 0.768 0.551 H
0.066 0.497 0.439 H
0.076 0.481 0.063 H
0.081 0.838 0.951 H
0.133 0.986 0.698 H
0.145 0.009 0.824 H
0.194 0.485 0.605 H
0.205 0.482 0.891 H
0.216 0.951 0.515 H
0.284 0.049 0.015 H
0.295 0.518 0.391 H
0.306 0.515 0.105 H
0.355 0.991 0.324 H
0.367 0.014 0.198 H
0.419 0.162 0.451 H
0.424 0.519 0.563 H
0.434 0.503 0.939 H
0.443 0.232 0.051 H
0.557 0.732 0.449 H
0.566 0.003 0.561 H
0.576 0.019 0.937 H
0.581 0.662 0.049 H
0.633 0.514 0.302 H
0.645 0.491 0.176 H
0.694 0.015 0.395 H
0.705 0.018 0.109 H
0.716 0.549 0.485 H
0.784 0.451 0.985 H
0.795 0.982 0.609 H
0.806 0.985 0.895 H
0.855 0.509 0.676 H
0.867 0.486 0.802 H
0.919 0.338 0.549 H
0.924 0.981 0.437 H
0.934 0.997 0.061 H
0.943 0.268 0.949 H
0.069 0.989 0.952 O
0.075 0.920 0.551 O
0.147 0.499 0.372 O
0.156 0.506 0.128 O
0.226 0.012 0.757 O
0.274 0.988 0.257 O
0.344 0.494 0.628 O
0.353 0.501 0.872 O
0.425 0.080 0.051 O
0.431 0.011 0.452 O
0.569 0.511 0.048 O
0.575 0.580 0.449 O
0.647 0.001 0.628 O
0.656 0.994 0.872 O
0.726 0.488 0.243 O
0.774 0.512 0.743 O
0.844 0.006 0.372 O
0.853 0.999 0.128 O
0.925 0.420 0.949 O
0.931 0.489 0.548 O